(1)
VASP calculation (PBE) on a geometry-optimized CoB structure.

Summary:
Theoretical density   7.13 Mg/m³
M_tot   0.0 μB per cell
Final energy   -6.99 eV/atom
DFT formation energy   -0.10 eV per atom

Unit cell a=5.1719 b=4.8166 c=4.0262 alpha=70.95 beta=61.68 gamma=47.38
Closest atoms and distances in Å follow each position.
Fractional positions:
Co: 0.0763 0.6737 0.0763  6 B 2.06-2.11
Co: 0.3263 0.9237 0.3263  6 B 2.06-2.11
Co: 0.6737 0.0763 0.6737  6 B 2.06-2.11
Co: 0.9237 0.3263 0.9237  6 B 2.06-2.11
B: 0.1985 0.5515 0.5515  1 B 1.78
B: 0.4485 0.8015 0.8015  1 B 1.78
B: 0.5515 0.1985 0.1985  1 B 1.78
B: 0.8015 0.4485 0.4485  1 B 1.78

=====

(2)
VASP calculation (PBE) on a geometry-optimized Y2ZrRe structure.

Summary:
Theoretical density   8.25 Mg/m³
M_tot   0.0 μB per cell
Final energy   -8.14 eV/atom
DFT formation energy   0.34 eV per atom

Unit cell a=4.0909 b=4.4939 c=4.9813 alpha=90.00 beta=90.00 gamma=90.00
Closest atoms and distances in Å follow each position.
Fractional positions:
Y: 0.0000 0.0000 0.0000  4 Y 3.04, 4 Re 3.22, 4 Zr 3.35
Y: 0.5000 0.5000 0.0000  4 Y 3.04, 4 Zr 3.22, 4 Re 3.35
Zr: 0.0000 0.5000 0.5000  4 Re 3.04, 8 Y 3.22-3.35
Re: 0.5000 0.0000 0.5000  4 Zr 3.04, 8 Y 3.22-3.35

=====

(3)
VASP calculation (PBE) on a geometry-optimized LiFeIr2 structure.

Summary:
Theoretical density   14.03 Mg/m³
M_tot   2.8 μB per cell
Final energy   -7.11 eV/atom
DFT formation energy   -0.09 eV per atom

Unit cell a=5.0232 b=5.0232 c=4.5313 alpha=114.84 beta=114.84 gamma=30.96
Closest atoms and distances in Å follow each position.
Fractional positions:
Li: 0.0000 0.0000 0.0000  7 Ir 2.57-2.68, 3 Fe 2.63-2.76, 2 Li 2.68
Fe: 0.7593 0.7593 0.4268  7 Ir 2.62-2.64, 3 Li 2.63-2.76, 2 Fe 2.68
Ir: 0.2463 0.2463 0.9167  3 Li 2.57-2.68, 4 Fe 2.63-2.64, 5 Ir 2.65-2.72
Ir: 0.5043 0.5043 0.4948  4 Li 2.60-2.67, 3 Fe 2.62, 5 Ir 2.65-2.72

=====

- Which of these has the highest DFT formation energy?
  Y2ZrRe